A plane-wave DFT calculation with PBE was carried out for a relaxed VAg3Se crystal.

Unit cell a=5.0115 b=5.0115 c=5.0115 alpha=90.00 beta=90.00 gamma=90.00
With the nearest neighbours (Å) after each atom.
Fractional coordinates of all 5 atoms:
Ag 0.0000 0.5000 0.0000  2 Se 2.51
Ag 0.0000 0.0000 0.5000  2 Se 2.51
Ag 0.5000 0.0000 0.0000  2 Se 2.51
Se 0.0000 0.0000 0.0000  6 Ag 2.51
V 0.5000 0.5000 0.5000  12 Ag 3.54

**Polymorph energy (0 for the lowest one)**: 0 meV/atom
**Calculated total energy**: -3.340 eV per atom
**Formation energy (no corrections)**: 892 meV/atom